# RbPS2O | the Alexandria database | PBE | relaxed
# raw total energy = -3.71 eV per atom
# E_form (uncorrected) = 204.2 meV per atom
# crystal system = tetragonal
data_RbPS2O
_chemical_formula_sum 'Rb1 P1 S2 O1'
_cell_length_a 4.407
_cell_length_b 4.407
_cell_length_c 7.873
_cell_angle_alpha 90.00
_cell_angle_beta 90.00
_cell_angle_gamma 90.00
_symmetry_space_group_name_H-M 'P 4/m m m'
_symmetry_Int_Tables_number 123
_symmetry_space_group_name_Hall '-P 4 2'
loop_
_atom_site_label
_atom_site_type_symbol
_atom_site_fract_x
_atom_site_fract_y
_atom_site_fract_z
_atom_site_occupancy
Rb1 Rb 0.000 0.000 0.000 1
P1 P 0.000 0.000 0.500 1
S1 S 0.000 0.500 0.500 1
O1 O 0.500 0.500 0.000 1